1.
The following is a PBE calculation of AcYNp after structural relaxation, from OQMD via LeMat-Bulk.

Cell and atoms, written as CIF:
```
data_AcYNp
_chemical_formula_sum 'Ac4 Y4 Np4'
_space_group_name_H-M_alt 'F -4 3 m'
_space_group_IT_number 216
_space_group_name_Hall 'F -4 2 3'
_cell_length_a 7.7151
_cell_length_b 7.7151
_cell_length_c 7.7151
_cell_angle_alpha 90.00
_cell_angle_beta 90.00
_cell_angle_gamma 90.00
loop_
_atom_site_label
_atom_site_fract_x
_atom_site_fract_y
_atom_site_fract_z
_atom_site_occupancy
Ac1 0.0000 0.0000 0.0000 1
Y1 0.2500 0.2500 0.2500 1
Np1 0.2500 0.2500 0.7500 1
```

## Properties
distance to the lowest polymorph of the same formula = 72 meV per atom
crystal system = cubic
E_tot = -6.51 eV per atom
formation energy from the elements = 1266 meV/atom



2.
The following is a PBE calculation of TlCuPSe3 after structural relaxation, from OQMD via LeMat-Bulk.

Cell and atoms, written as CIF:
```
data_TlCuPSe3
_chemical_formula_sum 'Tl4 Cu4 P4 Se12'
_space_group_name_H-M_alt 'P 1 21/c 1'
_space_group_IT_number 14
_cell_length_a 7.6134
_cell_length_b 9.3953
_cell_length_c 11.4286
_cell_angle_alpha 90.00
_cell_angle_beta 130.98
_cell_angle_gamma 90.00
loop_
_space_group_symop_operation_xyz
'x,y,z'
'-x,-y,-z'
'-x,y+1/2,-z+1/2'
'x,-y+1/2,z+1/2'
loop_
_atom_site_label
_atom_site_fract_x
_atom_site_fract_y
_atom_site_fract_z
_atom_site_occupancy
Tl1 0.2118 0.0243 0.2576 1
Cu1 0.4126 0.1661 0.7320 1
P1 0.4297 0.6021 0.4301 1
Se1 0.1747 0.5272 0.1875 1
Se2 0.2559 0.2186 0.9997 1
Se3 0.2688 0.7258 0.5066 1
```

## Properties
crystal system = monoclinic
E_tot = -3.91 eV per atom